# 1
# CdSiAs2Se | the Alexandria database | GGA-PBE | relaxed
# * formation energy (no corrections): 0.47 eV per atom
# * volume: 115 Å³/cell
# * polymorph energy (0 for the lowest one): 0.00 eV per formula unit
# * theoretical density: 5.3 g/cm3
# * density of states at the Fermi level: 4.444 states/eV/cell
data_CdSiAs2Se
_space_group_name_H-M_alt 'P 4/m m m'
_space_group_IT_number 123
_space_group_name_Hall '-P 4 2'
_cell_length_a 4.860
_cell_length_b 4.860
_cell_length_c 4.860
_cell_angle_alpha 90.00
_cell_angle_beta 90.00
_cell_angle_gamma 90.00
loop_
_atom_site_label
_atom_site_type_symbol
_atom_site_fract_x
_atom_site_fract_y
_atom_site_fract_z
Cd1 Cd 0.000 0.000 0.000
Si1 Si 0.500 0.500 0.500
As1 As 0.000 0.500 0.500
Se1 Se 0.500 0.500 0.000

***

# 2
# CdSiAs2Se | the Alexandria database | GGA-PBE | relaxed
# * formation energy (no corrections): 1.11 eV per atom
# * volume: 136 Å³/cell
# * polymorph energy (0 for the lowest one): 3.19 eV per formula unit
# * theoretical density: 4.5 g/cm3
# * density of states at the Fermi level: 4.877 states/eV/cell
data_CdSiAs2Se
_space_group_name_H-M_alt 'P 4/m m m'
_space_group_IT_number 123
_space_group_name_Hall '-P 4 2'
_cell_length_a 5.082
_cell_length_b 5.082
_cell_length_c 5.264
_cell_angle_alpha 90.00
_cell_angle_beta 90.00
_cell_angle_gamma 90.00
loop_
_atom_site_label
_atom_site_type_symbol
_atom_site_fract_x
_atom_site_fract_y
_atom_site_fract_z
Cd1 Cd 0.000 0.000 0.000
Si1 Si 0.500 0.500 0.500
As1 As 0.000 0.500 0.000
Se1 Se 0.000 0.000 0.500

***

The highest volume belongs to which entry?
number 2